Compound: Hf2CdTe
Source: the Open Quantum Materials Database
Functional: PBE-GGA
Structure: relaxed

Cell lengths 5.0840, 5.0840, 5.0840 Å; angles 60.00, 60.00, 60.00 degrees
Positions (direct):
Hf 0.0000 0.0000 0.0000
Hf 0.2500 0.2500 0.2500
Cd 0.7500 0.7500 0.7500
Te 0.5000 0.5000 0.5000

Compound: HfCdTe2
Source: the Open Quantum Materials Database
Functional: PBE-GGA
Structure: relaxed

Cell lengths 5.2288, 5.2288, 5.2288 Å; angles 60.00, 60.00, 60.00 degrees
Positions (direct):
Hf 0.0000 0.0000 0.0000
Cd 0.2500 0.2500 0.2500
Te 0.5000 0.5000 0.5000
Te 0.7500 0.7500 0.7500

Compound: HfCdTe
Source: the Open Quantum Materials Database
Functional: PBE-GGA
Structure: relaxed

Cell lengths 4.8565, 4.8565, 4.8565 Å; angles 60.00, 60.00, 60.00 degrees
Positions (direct):
Hf 0.0000 0.0000 0.0000
Cd 0.5000 0.5000 0.5000
Te 0.7500 0.7500 0.7500

Compound: HfCd2Te
Source: the Open Quantum Materials Database
Functional: PBE-GGA
Structure: relaxed

Cell lengths 5.0593, 5.0593, 5.0593 Å; angles 60.00, 60.00, 60.00 degrees
Positions (direct):
Hf 0.0000 0.0000 0.0000
Cd 0.2500 0.2500 0.2500
Cd 0.5000 0.5000 0.5000
Te 0.7500 0.7500 0.7500

Compound: Hf2Cd2Te
Source: the Open Quantum Materials Database
Functional: PBE-GGA
Structure: relaxed

Cell lengths 8.0833, 8.0833, 8.0833 Å; angles 150.89, 150.89, 41.63 degrees
Positions (direct):
Hf 0.2500 0.7500 0.5000
Hf 0.7500 0.2500 0.5000
Cd 0.0960 0.0960 0.0000
Cd 0.9040 0.9040 0.0000
Te 0.5000 0.5000 0.0000

Compound: Hf3Tl2Cd2
Source: the Open Quantum Materials Database
Functional: PBE-GGA
Structure: relaxed

Cell lengths 8.1858, 8.1858, 8.1858 Å; angles 35.29, 35.29, 35.29 degrees
Positions (direct):
Hf 0.0000 0.0000 0.0000
Hf 0.2711 0.2711 0.2711
Hf 0.5454 0.5454 0.5454
Tl 0.1350 0.1350 0.1350
Tl 0.6750 0.6750 0.6750
Cd 0.4091 0.4091 0.4091
Cd 0.8690 0.8690 0.8690

no.,uncorrected energy (eV per atom),calculated density (kg/m3)
1,-5.616,10669
2,-4.039,8971
3,-4.316,8580
4,-3.587,9627
5,-4.588,9446
6,-4.977,11871